Below is crystalline Mg2MnSe at its relaxed geometry, with properties calculated at the GGA-PBEsol level.

Structure (POSCAR):
```
Mg2MnSe
1.0
3.724 0.000 0.000
0.000 3.702 0.000
0.000 -1.851 5.419
Mg Mn Se
2 1 1
direct
0.000 0.962 0.924
0.500 0.290 0.580
0.000 0.698 0.395
0.500 0.549 0.098
```

Summary:
Fermi-level density of states = 0.532 states/eV/atom
Total DFT energy (no corrections) = -4.4382 eV per atom
Space group = Amm2 (38)

=====

Below is crystalline Na4MoO5 at its relaxed geometry, with properties calculated at the GGA-PBEsol level.

Structure (POSCAR):
```
Na4MoO5
1.0
-3.432 0.551 4.432
-7.167 -0.338 -6.881
3.549 -8.984 2.441
Na Mo O
16 4 20
direct
0.736 0.644 0.842
0.780 0.451 0.066
0.220 0.549 0.934
0.756 0.054 0.462
0.000 0.000 0.000
0.500 0.500 0.500
0.509 0.103 0.910
0.491 0.897 0.090
0.002 0.398 0.599
0.998 0.602 0.401
0.282 0.154 0.360
0.718 0.846 0.640
0.985 0.195 0.805
0.015 0.805 0.195
0.264 0.356 0.158
0.244 0.946 0.538
0.520 0.700 0.262
0.480 0.300 0.738
0.215 0.785 0.753
0.785 0.215 0.247
0.806 0.398 0.809
0.940 0.645 0.651
0.060 0.355 0.349
0.194 0.602 0.191
0.884 0.042 0.227
0.116 0.958 0.773
0.862 0.228 0.070
0.138 0.772 0.930
0.406 0.466 0.711
0.594 0.534 0.289
0.198 0.190 0.598
0.802 0.810 0.402
0.377 0.322 0.909
0.623 0.678 0.091
0.666 0.271 0.425
0.334 0.729 0.575
0.601 0.118 0.682
0.541 0.848 0.850
0.459 0.152 0.150
0.399 0.882 0.318
```

Summary:
Fermi-level density of states = 0.000 states/eV/atom
Total DFT energy (no corrections) = -6.2475 eV per atom
Space group = P-1 (2)

=====

Below is crystalline LiLaIr3 at its relaxed geometry, with properties calculated at the GGA-PBEsol level.

Structure (POSCAR):
```
LiLaIr3
1.0
4.310 0.000 0.000
0.000 4.310 0.000
0.000 0.000 4.310
Ir Li La
3 1 1
direct
0.000 0.500 0.000
0.000 0.000 0.500
0.500 0.000 0.000
0.000 0.000 0.000
0.500 0.500 0.500
```

Summary:
Calculated formation energy = 0.2146 eV per atom
Fermi-level density of states = 0.586 states/eV/atom
Space group = Pm-3m (221)

=====

Below is crystalline TlCrAg3 at its relaxed geometry, with properties calculated at the GGA-PBEsol level.

Structure (POSCAR):
```
TlCrAg3
1.0
-2.784 -3.554 2.047
3.703 -1.115 3.101
-1.763 3.271 3.281
Cr Tl Ag
1 1 3
direct
0.000 0.000 0.000
0.500 0.500 0.500
0.000 0.500 0.000
0.000 0.000 0.500
0.500 0.000 0.000
```

Summary:
Calculated formation energy = 1.0010 eV per atom
Fermi-level density of states = 0.500 states/eV/atom
Space group = Pm-3m (221)

=====

Below is crystalline ZnFeW3 at its relaxed geometry, with properties calculated at the GGA-PBEsol level.

Structure (POSCAR):
```
ZnFeW3
1.0
4.463 0.000 0.000
0.000 4.463 0.000
0.000 0.000 4.463
Zn Fe W
1 1 3
direct
0.000 0.000 0.000
0.500 0.500 0.500
0.000 0.500 0.000
0.000 0.000 0.500
0.500 0.000 0.000
```

Summary:
Calculated formation energy = 2.2260 eV per atom
Fermi-level density of states = 0.893 states/eV/atom
Space group = Pm-3m (221)

=====

Below is crystalline PtCl3 at its relaxed geometry, with properties calculated at the GGA-PBEsol level.

Structure (POSCAR):
```
PtCl3
1.0
-1.244 1.603 -2.151
1.825 -2.990 -3.283
-3.955 -2.709 0.268
Pt Cl
1 3
direct
0.000 0.000 0.000
0.500 0.000 0.500
0.500 0.500 0.000
0.000 0.500 0.500
```

Summary:
Fermi-level density of states = 1.238 states/eV/atom
Total DFT energy (no corrections) = -2.4532 eV per atom
Space group = P4/mmm (123)

=====

Below is crystalline Zn4P3 at its relaxed geometry, with properties calculated at the GGA-PBEsol level.

Structure (POSCAR):
```
Zn4P3
1.0
3.401 0.000 0.000
0.000 3.401 0.000
-1.701 -1.701 9.984
P Zn
3 4
direct
0.000 0.000 0.000
0.675 0.675 0.351
0.325 0.325 0.649
0.803 0.803 0.606
0.197 0.197 0.394
0.560 0.560 0.120
0.440 0.440 0.880
```

Summary:
Energy above the most stable polymorph in this dataset = 0.0 meV/atom
Calculated formation energy = 0.0745 eV per atom
Fermi-level density of states = 0.304 states/eV/atom
Space group = I4/mmm (139)

=====

Below is crystalline Ca2CuRh at its relaxed geometry, with properties calculated at the GGA-PBEsol level.

Structure (POSCAR):
```
Ca2CuRh
1.0
3.363 0.000 0.000
0.000 3.363 0.019
0.000 -0.041 7.101
Ca Rh Cu
2 1 1
direct
0.000 0.000 0.264
0.000 0.000 0.736
0.500 0.500 0.500
0.500 0.500 0.000
```

Summary:
Calculated formation energy = -0.1415 eV per atom
Fermi-level density of states = 0.278 states/eV/atom
Space group = P4/mmm (123)

=====

Below is crystalline TaMo2Ir at its relaxed geometry, with properties calculated at the GGA-PBEsol level.

Structure (POSCAR):
```
TaMo2Ir
1.0
3.951 0.000 0.000
0.000 3.951 0.000
-1.976 -1.976 3.986
Ir Mo Ta
1 2 1
direct
0.250 0.750 0.500
0.000 0.000 0.000
0.750 0.250 0.500
0.500 0.500 0.000
```

Summary:
Energy above the most stable polymorph in this dataset = 83.7 meV/atom
Calculated formation energy = -0.0387 eV per atom
Fermi-level density of states = 1.120 states/eV/atom
Space group = I-4m2 (119)

=====

Below is crystalline Cd2HgPb at its relaxed geometry, with properties calculated at the GGA-PBEsol level.

Structure (POSCAR):
```
Cd2HgPb
1.0
4.347 0.000 0.000
0.000 4.347 0.000
-2.174 -2.174 10.624
Pb Hg Cd
2 2 4
direct
0.250 0.750 0.500
0.000 0.000 0.000
0.750 0.250 0.500
0.500 0.500 0.000
0.388 0.875 0.250
0.862 0.375 0.250
0.125 0.138 0.750
0.625 0.612 0.750
```

Summary:
Energy above the most stable polymorph in this dataset = 59.3 meV/atom
Calculated formation energy = 0.0913 eV per atom
Fermi-level density of states = 0.403 states/eV/atom
Space group = I-42d (122)

=====

Below is crystalline CoMoSe2 at its relaxed geometry, with properties calculated at the GGA-PBEsol level.

Structure (POSCAR):
```
CoMoSe2
1.0
-0.845 2.705 -1.125
-1.318 -1.822 -3.389
-3.672 0.312 3.508
Co Mo Se
1 1 2
direct
0.500 0.500 0.000
0.000 0.000 0.500
0.000 0.000 0.000
0.500 0.500 0.500
```

Summary:
Energy above the most stable polymorph in this dataset = 0.0 meV/atom
Fermi-level density of states = 0.790 states/eV/atom
Space group = P2/m (10)

=====

Below is crystalline MnCoNi at its relaxed geometry, with properties calculated at the GGA-PBEsol level.

Structure (POSCAR):
```
MnCoNi
1.0
-2.223 -0.981 -0.040
1.151 0.317 2.117
-2.414 5.448 0.497
Co Mn Ni
1 1 1
direct
0.000 0.000 0.993
0.667 0.333 0.672
0.333 0.667 0.335
```

Summary:
Calculated formation energy = 0.0656 eV per atom
Fermi-level density of states = 1.493 states/eV/atom
Space group = P3m1 (156)

=====

Below is crystalline LaGaIN2 at its relaxed geometry, with properties calculated at the GGA-PBEsol level.

Structure (POSCAR):
```
LaGaIN2
1.0
-0.548 -2.891 3.203
1.000 -3.226 -2.740
4.800 0.447 1.225
I N Ga La
1 2 1 1
direct
0.000 0.000 0.000
0.000 0.500 0.000
0.500 0.000 0.000
0.000 0.000 0.500
0.500 0.500 0.500
```

Summary:
Fermi-level density of states = 0.669 states/eV/atom
Total DFT energy (no corrections) = -4.4728 eV per atom
Space group = P4/mmm (123)

=====

Below is crystalline RbPd3N at its relaxed geometry, with properties calculated at the GGA-PBEsol level.

Structure (POSCAR):
```
RbPd3N
1.0
5.058 0.000 0.000
0.000 5.058 0.000
0.000 0.000 5.058
Rb Pd N
1 3 1
direct
0.000 0.000 0.000
0.000 0.500 0.000
0.000 0.000 0.500
0.500 0.000 0.000
0.500 0.500 0.500
```

Summary:
Energy above the most stable polymorph in this dataset = 2263.0 meV/atom
Fermi-level density of states = 0.143 states/eV/atom
Space group = Pm-3m (221)

=====

Below is crystalline EuMg2 at its relaxed geometry, with properties calculated at the GGA-PBEsol level.

Structure (POSCAR):
```
EuMg2
1.0
6.192 0.000 0.000
3.096 5.362 0.000
3.096 1.787 5.055
Eu Mg
2 4
direct
0.500 0.500 0.500
0.750 0.750 0.750
0.625 0.125 0.125
0.125 0.625 0.125
0.125 0.125 0.125
0.125 0.125 0.625
```

Summary:
Calculated formation energy = -0.1204 eV per atom
Fermi-level density of states = 2.190 states/eV/atom
Space group = Fd-3m (227)

=====

Below is crystalline Nb2SnC at its relaxed geometry, with properties calculated at the GGA-PBEsol level.

Structure (POSCAR):
```
Nb2SnC
1.0
-1.187 -2.698 1.355
3.202 0.520 -0.042
-0.892 6.476 12.107
Nb Sn C
4 2 2
direct
0.333 0.667 0.417
0.333 0.667 0.083
0.667 0.333 0.917
0.667 0.333 0.583
0.333 0.667 0.750
0.667 0.333 0.250
0.000 0.000 0.500
0.000 0.000 0.000
```

Summary:
Energy above the most stable polymorph in this dataset = 0.0 meV/atom
Calculated formation energy = -0.4921 eV per atom
Fermi-level density of states = 0.434 states/eV/atom
Space group = P6_3/mmc (194)

=====

Below is crystalline TlTe2Au at its relaxed geometry, with properties calculated at the GGA-PBEsol level.

Structure (POSCAR):
```
TlTe2Au
1.0
-2.300 -2.968 -1.651
-0.307 -2.438 4.811
-3.938 4.650 2.222
Tl Te Au
1 2 1
direct
0.475 0.499 0.950
0.035 0.996 0.070
0.314 0.005 0.629
0.676 0.000 0.352
```

Summary:
Fermi-level density of states = 0.237 states/eV/atom
Total DFT energy (no corrections) = -3.5067 eV per atom
Space group = Cm (8)

=====

Below is crystalline AlP2 at its relaxed geometry, with properties calculated at the GGA-PBEsol level.

Structure (POSCAR):
```
AlP2
1.0
-2.269 -3.132 -1.548
-2.183 -2.454 2.562
-4.160 0.218 0.051
P Al
2 1
direct
0.750 0.750 0.750
0.250 0.250 0.250
0.000 0.000 0.000
```

Summary:
Calculated formation energy = 0.2144 eV per atom
Fermi-level density of states = 0.653 states/eV/atom
Space group = Fm-3m (225)

=====

Below is crystalline ScTlIrRh2 at its relaxed geometry, with properties calculated at the GGA-PBEsol level.

Structure (POSCAR):
```
ScTlIrRh2
1.0
4.742 0.000 0.000
0.000 4.742 0.000
0.000 0.000 5.018
Sc Tl Ir Rh
1 1 1 2
direct
0.000 0.000 0.500
0.000 0.000 0.000
0.500 0.500 0.500
0.000 0.500 0.000
0.500 0.000 0.000
```

Summary:
Calculated formation energy = 1.7894 eV per atom
Fermi-level density of states = 1.572 states/eV/atom
Space group = P4/mmm (123)

=====

Below is crystalline Zn2PIr at its relaxed geometry, with properties calculated at the GGA-PBEsol level.

Structure (POSCAR):
```
Zn2PIr
1.0
2.840 0.030 0.000
-0.427 4.197 0.000
0.000 0.000 4.669
Ir P Zn
1 1 2
direct
0.000 0.000 0.500
0.500 0.500 0.500
0.265 0.246 0.000
0.735 0.754 0.000
```

Summary:
Calculated formation energy = 0.0437 eV per atom
Fermi-level density of states = 0.410 states/eV/atom
Space group = P2/m (10)

=====

Below is crystalline La3YRh at its relaxed geometry, with properties calculated at the GGA-PBEsol level.

Structure (POSCAR):
```
La3YRh
1.0
-2.412 2.977 -3.914
2.297 -3.173 -3.829
-4.348 -3.327 0.148
Y Rh La
1 1 3
direct
0.000 0.000 0.000
0.500 0.500 0.500
0.000 0.500 0.000
0.000 0.000 0.500
0.500 0.000 0.000
```

Summary:
Calculated formation energy = 1.1193 eV per atom
Fermi-level density of states = 1.157 states/eV/atom
Space group = Pm-3m (221)

=====

Below is crystalline K3SrI at its relaxed geometry, with properties calculated at the GGA-PBEsol level.

Structure (POSCAR):
```
K3SrI
1.0
-1.585 -6.594 -0.405
5.811 -1.194 -3.311
3.143 -1.119 5.918
I Sr K
1 1 3
direct
0.000 0.000 0.000
0.500 0.500 0.500
0.000 0.500 0.000
0.000 0.000 0.500
0.500 0.000 0.000
```

Summary:
Fermi-level density of states = 1.004 states/eV/atom
Total DFT energy (no corrections) = -1.7616 eV per atom
Space group = Pm-3m (221)

=====

Below is crystalline HfIn3Ag at its relaxed geometry, with properties calculated at the GGA-PBEsol level.

Structure (POSCAR):
```
HfIn3Ag
1.0
5.438 0.000 0.000
0.000 5.438 0.000
0.000 0.000 5.438
Hf Ag In
1 1 3
direct
0.000 0.000 0.000
0.500 0.500 0.500
0.000 0.500 0.000
0.000 0.000 0.500
0.500 0.000 0.000
```

Summary:
Energy above the most stable polymorph in this dataset = 199.7 meV/atom
Calculated formation energy = 0.9005 eV per atom
Fermi-level density of states = 0.770 states/eV/atom
Space group = Pm-3m (221)

=====

Below is crystalline CsLiAsSe2 at its relaxed geometry, with properties calculated at the GGA-PBEsol level.

Structure (POSCAR):
```
CsLiAsSe2
1.0
4.811 0.000 0.000
0.000 5.012 0.000
0.000 0.000 5.012
Cs As Se Li
1 1 2 1
direct
0.500 0.500 0.500
0.500 0.000 0.000
0.000 0.000 0.500
0.000 0.500 0.000
0.000 0.000 0.000
```

Summary:
Fermi-level density of states = 0.800 states/eV/atom
Total DFT energy (no corrections) = -3.2633 eV per atom
Space group = P4/mmm (123)

=====

Below is crystalline FeNi at its relaxed geometry, with properties calculated at the GGA-PBEsol level.

Structure (POSCAR):
```
FeNi
1.0
-1.999 -0.911 1.103
2.022 0.472 1.315
-2.685 7.596 1.406
Ni Fe
2 2
direct
0.333 0.667 0.624
0.667 0.333 0.376
0.333 0.667 0.131
0.667 0.333 0.869
```

Summary:
Calculated formation energy = 0.0486 eV per atom
Fermi-level density of states = 1.100 states/eV/atom
Space group = P-3m1 (164)

=====

Below is crystalline ZrCd2As at its relaxed geometry, with properties calculated at the GGA-PBEsol level.

Structure (POSCAR):
```
ZrCd2As
1.0
3.610 0.000 0.000
0.000 3.610 0.000
0.000 0.000 6.230
As Zr Cd
1 1 2
direct
0.500 0.500 0.700
0.000 0.000 0.539
0.000 0.000 0.016
0.500 0.500 0.245
```

Summary:
Calculated formation energy = -0.3590 eV per atom
Fermi-level density of states = 0.536 states/eV/atom
Space group = P4mm (99)

=====

Below is crystalline ZrFePb2 at its relaxed geometry, with properties calculated at the GGA-PBEsol level.

Structure (POSCAR):
```
ZrFePb2
1.0
3.325 0.000 0.000
0.000 5.334 0.000
-1.663 -2.667 4.712
Fe Pb Zr
1 2 1
direct
0.000 0.500 0.000
0.722 0.722 0.443
0.278 0.278 0.557
0.500 0.000 0.000
```

Summary:
Energy above the most stable polymorph in this dataset = 192.2 meV/atom
Calculated formation energy = 0.2905 eV per atom
Fermi-level density of states = 0.863 states/eV/atom
Space group = Immm (71)